1.
## FeSbPdRh (PBE-GGA)

Data for an optimized crystal structure of FeSbPdRh.

Results
- Formation energy without anion corrections: -130 meV/atom
- D(E_F): 14.2 states/eV per cell

Structure (POSCAR):
```
FeSbPdRh
1.0
6.331 0.000 0.000
0.000 6.331 0.000
0.000 0.000 6.331
Fe Sb Pd Rh
4 4 4 4
Cartesian
0.000 0.000 0.000
0.000 3.166 3.166
3.166 0.000 3.166
3.166 3.166 0.000
0.000 0.000 3.166
0.000 3.166 0.000
3.166 0.000 0.000
3.166 3.166 3.166
1.583 1.583 4.748
1.583 4.748 1.583
4.748 1.583 1.583
4.748 4.748 4.748
1.583 1.583 1.583
1.583 4.748 4.748
4.748 1.583 4.748
4.748 4.748 1.583
```

2.
## FeSbPd2Rh (PBE-GGA)

Data for an optimized crystal structure of FeSbPd2Rh.

Results
- Formation energy without anion corrections: 904 meV/atom
- ΔE to the lowest computed polymorph: 0 meV/atom
- D(E_F): 5.3 states/eV per cell

Structure (POSCAR):
```
FeSbPd2Rh
1.0
4.893 0.000 0.000
0.000 4.893 0.000
0.000 0.000 4.490
Fe Sb Pd Rh
1 1 2 1
Cartesian
0.000 0.000 0.000
2.446 2.446 0.000
0.000 2.446 2.245
2.446 0.000 2.245
0.000 0.000 2.245
```

3.
## FeSbPd2Rh (PBE-GGA)

Data for an optimized crystal structure of FeSbPd2Rh.

Results
- Formation energy without anion corrections: 930 meV/atom
- ΔE to the lowest computed polymorph: 26 meV/atom
- D(E_F): 8.0 states/eV per cell

Structure (POSCAR):
```
FeSbPd2Rh
1.0
4.858 0.000 0.000
0.000 4.858 0.000
0.000 0.000 4.844
Fe Sb Pd Rh
1 1 2 1
Cartesian
0.000 0.000 0.000
2.429 2.429 2.422
0.000 2.429 2.422
2.429 0.000 2.422
2.429 2.429 0.000
```

4.
## FeTcPd2Rh (PBE-GGA)

Data for an optimized crystal structure of FeTcPd2Rh.

Results
- Energy relative to the elements: 1.87 eV per atom
- D(E_F): 10.5 states/eV per cell

Structure (POSCAR):
```
FeTcPd2Rh
1.0
4.814 0.000 0.000
0.000 4.814 0.000
0.000 0.000 4.494
Fe Tc Pd Rh
1 1 2 1
Cartesian
0.000 0.000 0.000
2.407 2.407 0.000
0.000 2.407 2.247
2.407 0.000 2.247
2.407 2.407 2.247
```

Ordered magnetization results: 14.05; 4.72; 3.88; 1.40; unit μB per cell.